1.
Below is a relaxed structure of BeVIO2, with properties calculated at the PBE with a Hubbard U level.

POSCAR file:
```
BeVIO2
1.0
-1.704 0.946 3.224
-3.027 -2.002 -1.012
2.040 -4.261 2.328
I Be O V
1 1 2 1
Cartesian
1.020 -2.130 1.164
0.000 0.000 0.000
-1.513 -1.001 -0.506
-0.852 0.473 1.612
-1.345 -2.658 2.270
```

Output
V ... 14.95 A^3/atom
Polymorph energy (0 for the lowest one) ... 1.79 eV per formula unit
Mass density ... 4.9 g/cm³
Space-group type ... P4/mmm (123)

2.
Below is a relaxed structure of BeVIO2, with properties calculated at the PBE with a Hubbard U level.

POSCAR file:
```
BeVIO2
1.0
3.659 0.000 0.000
0.000 5.961 0.000
0.000 0.000 3.659
I Be O V
1 1 2 1
Cartesian
1.830 2.981 1.830
0.000 0.000 0.000
0.000 0.000 1.830
1.830 0.000 0.000
0.000 2.981 0.000
```

Output
V ... 15.97 A^3/atom
Polymorph energy (0 for the lowest one) ... 2.82 eV per formula unit
Mass density ... 4.6 g/cm³
Space-group type ... P4/mmm (123)

3.
Below is a relaxed structure of BeVIO2, with properties calculated at the PBE with a Hubbard U level.

POSCAR file:
```
BeVIO2
1.0
-3.000 1.192 -1.853
-2.181 -1.160 2.785
0.586 6.198 3.040
I Be O V
1 1 2 1
Cartesian
0.293 3.099 1.520
-2.298 3.115 1.986
-1.090 -0.580 1.392
-1.500 0.596 -0.926
0.000 0.000 0.000
```

Output
V ... 19.20 A^3/atom
Polymorph energy (0 for the lowest one) ... 0.00 eV per formula unit
Mass density ... 3.8 g/cm³
Space-group type ... P4/mmm (123)

Look up the polymorph energy (0 for the lowest one) of the third one.
0.00 eV per formula unit

Number 3 is which compound?
BeVIO2

Which of these has the highest polymorph energy (0 for the lowest one)?
number 2